Entry 1:
Material: NaTlCd2Cl
Method: DFT, PBE-GGA
State: relaxed

Structure (CIF):
```
data_NaTlCd2Cl
_chemical_formula_sum 'Na1 Tl1 Cd2 Cl1'
_space_group_name_H-M_alt 'P 4/m m m'
_space_group_IT_number 123
_space_group_name_Hall '-P 4 2'
_cell_length_a 5.9930
_cell_length_b 5.9930
_cell_length_c 4.9113
_cell_angle_alpha 90.00
_cell_angle_beta 90.00
_cell_angle_gamma 90.00
loop_
_atom_site_label
_atom_site_fract_x
_atom_site_fract_y
_atom_site_fract_z
_atom_site_occupancy
Na1 0.0000 0.0000 0.0000 1
Tl1 0.5000 0.5000 0.0000 1
Cd1 0.0000 0.5000 0.5000 1
Cl1 0.0000 0.0000 0.5000 1
```

## Properties
theoretical density = 4.59 Mg/m³
uncorrected formation energy = -0.187 eV/atom

=====

Entry 2:
Material: BePdPt2
Method: DFT, PBE-GGA
State: relaxed

Structure (CIF):
```
data_BePdPt2
_chemical_formula_sum 'Be1 Pd1 Pt2'
_space_group_name_H-M_alt 'P 4/m m m'
_space_group_IT_number 123
_space_group_name_Hall '-P 4 2'
_cell_length_a 3.8632
_cell_length_b 3.8632
_cell_length_c 3.7740
_cell_angle_alpha 90.00
_cell_angle_beta 90.00
_cell_angle_gamma 90.00
loop_
_atom_site_label
_atom_site_fract_x
_atom_site_fract_y
_atom_site_fract_z
_atom_site_occupancy
Be1 0.0000 0.0000 0.0000 1
Pd1 0.5000 0.5000 0.0000 1
Pt1 0.0000 0.5000 0.5000 1
```

## Properties
ΔE to the lowest computed polymorph = 89 kJ/mol of formula units
theoretical density = 14.91 Mg/m³
calculated formation energy = -0.237 eV per atom